[1]
CdCuAu5, relaxed, DFT PBE; space-group type = No. 65; final energy = -3.056 eV/atom; ΔH_f (0 K) = 0.00 eV/atom; distance to the lowest polymorph of the same formula = 0.0000 eV/atom
1.0
-4.935 -0.437 0.297
2.327 -2.906 3.282
-0.148 4.391 3.993
Au Cu Cd
5 1 1
direct
0.500 0.000 0.751
0.000 0.000 0.500
0.000 0.500 0.249
0.000 0.500 0.751
0.500 0.000 0.249
0.500 0.500 0.500
0.000 0.000 0.000

[2]
Cd2CuAu, relaxed, DFT PBE; space-group type = No. 12; final energy = -2.301 eV/atom; ΔH_f (0 K) = 0.00 eV/atom
1.0
-3.248 -3.794 -1.232
-3.256 -3.497 1.904
-4.501 1.977 -0.198
Cd Cu Au
2 1 1
direct
0.489 0.489 0.510
0.011 0.011 0.990
0.750 0.750 0.750
0.250 0.250 0.250

[3]
Cd2Cu2Au, relaxed, DFT PBE; space-group type = No. 127; final energy = -2.536 eV/atom; ΔH_f (0 K) = 0.12 eV/atom; distance to the lowest polymorph of the same formula = 0.1146 eV/atom
1.0
-3.016 -6.932 -0.500
1.888 -0.292 -7.332
2.661 -1.211 0.734
Cd Au Cu
4 2 4
direct
0.857 0.643 0.000
0.643 0.143 0.000
0.357 0.857 0.000
0.143 0.357 0.000
0.500 0.500 0.000
0.000 0.000 0.000
0.845 0.345 0.500
0.155 0.655 0.500
0.345 0.155 0.500
0.655 0.845 0.500

[4]
CdCuAu2, relaxed, DFT PBE; space-group type = No. 99; final energy = -2.938 eV/atom; ΔH_f (0 K) = -0.05 eV/atom
1.0
3.265 0.015 0.000
-0.015 3.265 0.000
0.000 0.000 6.504
Au Cd Cu
2 1 1
direct
0.500 0.500 0.246
0.000 0.000 0.972
0.000 0.000 0.518
0.500 0.500 0.764

[5]
CdCuAu2, relaxed, DFT PBE; space-group type = No. 8; final energy = -2.941 eV/atom; ΔH_f (0 K) = -0.05 eV/atom
1.0
5.027 -0.032 -0.012
4.094 2.917 -0.012
1.093 0.346 4.706
Cd Au Cu
1 2 1
direct
0.493 0.493 0.500
0.251 0.251 0.255
0.010 0.010 0.980
0.747 0.747 0.765

[6]
Cd2CuAu2, relaxed, DFT PBE; space-group type = No. 72; final energy = -2.535 eV/atom; ΔH_f (0 K) = -0.04 eV/atom; distance to the lowest polymorph of the same formula = 0.0340 eV/atom
1.0
5.170 0.000 0.000
0.000 5.554 0.000
-2.585 -2.777 6.483
Cd Cu Au
4 2 4
direct
0.395 0.036 0.790
0.895 0.754 0.790
0.105 0.246 0.210
0.605 0.964 0.210
0.250 0.500 0.000
0.750 0.500 0.000
0.174 0.827 0.348
0.674 0.520 0.348
0.826 0.173 0.652
0.326 0.480 0.652

[7]
Cd4CuAu2, relaxed, DFT PBE; space-group type = No. 12; final energy = -2.145 eV/atom; ΔH_f (0 K) = -0.10 eV/atom
1.0
-3.762 0.572 3.034
-4.170 -2.507 -0.113
-0.771 -6.028 5.997
Cd Au Cu
4 2 1
direct
0.360 0.360 0.864
0.892 0.892 0.385
0.108 0.108 0.615
0.640 0.640 0.136
0.719 0.719 0.762
0.281 0.281 0.238
0.000 0.000 0.000

[8]
CdCu2Au2, relaxed, DFT PBE; space-group type = No. 127; final energy = -3.147 eV/atom; ΔH_f (0 K) = -0.01 eV/atom; distance to the lowest polymorph of the same formula = 0.0356 eV/atom
1.0
7.502 0.000 0.000
0.000 7.502 0.000
0.000 0.000 3.010
Au Cu Cd
4 4 2
direct
0.637 0.137 0.000
0.863 0.637 0.000
0.363 0.863 0.000
0.137 0.363 0.000
0.160 0.660 0.500
0.340 0.160 0.500
0.840 0.340 0.500
0.660 0.840 0.500
0.000 0.000 0.000
0.500 0.500 0.000

[9]
Cd3CuAu12, relaxed, DFT PBE; space-group type = No. 123; final energy = -2.978 eV/atom; ΔH_f (0 K) = -0.09 eV/atom
1.0
4.244 0.000 0.000
0.000 4.244 0.000
0.000 0.000 16.192
Cd Au Cu
3 12 1
direct
0.000 0.000 0.500
0.000 0.000 0.244
0.000 0.000 0.756
0.500 0.000 0.628
0.000 0.500 0.628
0.500 0.000 0.884
0.000 0.500 0.884
0.000 0.500 0.372
0.500 0.500 0.000
0.500 0.500 0.244
0.500 0.000 0.372
0.000 0.500 0.116
0.500 0.500 0.756
0.500 0.500 0.500
0.500 0.000 0.116
0.000 0.000 0.000

[10]
CdCu12Au6, relaxed, DFT PBE; space-group type = No. 148; final energy = -3.630 eV/atom; ΔH_f (0 K) = 0.04 eV/atom
1.0
-6.993 -0.762 0.018
2.778 -6.444 0.487
1.715 3.436 5.893
Au Cu Cd
6 12 1
direct
0.196 0.466 0.080
0.080 0.196 0.466
0.466 0.080 0.196
0.920 0.804 0.534
0.534 0.920 0.804
0.804 0.534 0.920
0.289 0.154 0.837
0.711 0.846 0.163
0.480 0.186 0.589
0.589 0.480 0.186
0.846 0.163 0.711
0.520 0.814 0.411
0.814 0.411 0.520
0.163 0.711 0.846
0.186 0.589 0.480
0.411 0.520 0.814
0.154 0.837 0.289
0.837 0.289 0.154
0.000 0.000 0.000

[11]
Cd3CuAu5, relaxed, DFT PBE; space-group type = No. 140; final energy = -2.510 eV/atom; ΔH_f (0 K) = 0.07 eV/atom
1.0
-4.736 -4.213 5.222
-3.866 -3.511 -6.339
7.934 -0.188 0.585
Cd Au Cu
6 10 2
direct
0.883 0.617 0.000
0.617 0.117 0.000
0.250 0.250 0.500
0.117 0.383 0.000
0.750 0.750 0.500
0.383 0.883 0.000
0.950 0.450 0.280
0.670 0.170 0.720
0.050 0.550 0.720
0.170 0.050 0.720
0.500 0.500 0.000
0.550 0.670 0.720
0.330 0.830 0.280
0.830 0.950 0.280
0.000 0.000 0.000
0.450 0.330 0.280
0.750 0.250 0.500
0.250 0.750 0.500

[12]
Cd4CuAu3, relaxed, DFT PBE; space-group type = No. 139; final energy = -2.307 eV/atom; ΔH_f (0 K) = -0.11 eV/atom
1.0
-1.230 -4.016 -1.206
2.698 0.204 -3.432
5.055 -1.180 6.694
Cd Au Cu
4 3 1
direct
0.379 0.379 0.757
0.621 0.621 0.243
0.121 0.122 0.243
0.879 0.878 0.757
0.747 0.246 0.494
0.253 0.754 0.506
0.000 0.500 0.000
0.500 0.000 0.000

[13]
Cd2CuAu4, relaxed, DFT PBE; space-group type = No. 65; final energy = -2.712 eV/atom; ΔH_f (0 K) = 0.01 eV/atom
1.0
-0.992 0.205 -2.811
-4.266 -1.715 1.380
-0.828 9.573 0.990
Cd Au Cu
2 4 1
direct
0.500 0.209 0.419
0.500 0.791 0.581
0.500 0.621 0.243
0.000 0.926 0.851
0.000 0.074 0.149
0.500 0.379 0.757
0.000 0.500 0.000

[14]
CdCuAu2, relaxed, DFT PBE; space-group type = No. 123; final energy = -2.965 eV/atom; ΔH_f (0 K) = -0.07 eV/atom
1.0
4.129 0.000 0.000
0.000 4.136 0.000
0.000 0.000 4.048
Cd Au Cu
1 2 1
direct
0.500 0.000 0.500
0.500 0.500 0.000
0.000 0.000 0.000
0.000 0.500 0.500

[15]
CdCu4Au5, relaxed, DFT PBE; space-group type = No. 123; final energy = -3.435 eV/atom; ΔH_f (0 K) = -0.07 eV/atom
1.0
-0.986 2.934 -0.202
-2.162 -0.579 2.148
10.643 4.396 11.899
Au Cu Cd
5 4 1
direct
0.500 0.500 0.121
0.500 0.500 0.879
0.500 0.500 0.500
0.500 0.500 0.689
0.500 0.500 0.311
0.000 0.000 0.594
0.000 0.000 0.217
0.000 0.000 0.783
0.000 0.000 0.406
0.000 0.000 0.000

[16]
Cd12CuAu6, relaxed, DFT PBE; space-group type = No. 148; final energy = -1.952 eV/atom; ΔH_f (0 K) = -0.12 eV/atom
1.0
7.207 0.561 0.672
-0.538 7.209 0.672
-0.538 -0.627 7.213
Au Cd Cu
6 12 1
direct
0.114 0.739 0.275
0.886 0.261 0.725
0.275 0.114 0.739
0.261 0.725 0.886
0.725 0.886 0.261
0.739 0.275 0.114
0.565 0.197 0.470
0.803 0.530 0.435
0.036 0.146 0.367
0.146 0.367 0.036
0.470 0.565 0.197
0.964 0.854 0.633
0.633 0.964 0.854
0.435 0.803 0.530
0.197 0.470 0.565
0.854 0.633 0.964
0.530 0.435 0.803
0.367 0.036 0.146
0.000 0.000 0.000

[17]
CdCuAu, relaxed, DFT PBE; space-group type = No. 216; final energy = -2.733 eV/atom; ΔH_f (0 K) = 0.03 eV/atom; distance to the lowest polymorph of the same formula = 0.0924 eV/atom
1.0
-2.720 1.969 2.769
-1.389 -2.100 3.550
1.404 1.215 3.936
Cu Cd Au
1 1 1
direct
0.750 0.750 0.750
0.500 0.500 0.500
0.000 0.000 0.000

[18]
Cd2Cu2Au, relaxed, DFT PBE; space-group type = No. 139; final energy = -2.616 eV/atom; ΔH_f (0 K) = 0.04 eV/atom; distance to the lowest polymorph of the same formula = 0.0345 eV/atom
1.0
-2.358 -0.854 -2.366
2.515 -0.773 -2.228
0.124 -8.002 0.251
Au Cu Cd
1 2 2
direct
0.000 0.000 0.000
0.750 0.250 0.500
0.250 0.750 0.500
0.608 0.608 0.784
0.392 0.392 0.216

[19]
Dy4CdCu2Au, relaxed, DFT PBE; space-group type = No. 166; final energy = -4.248 eV/atom; ΔH_f (0 K) = -0.40 eV/atom
1.0
-2.265 2.157 -3.962
-1.010 -2.730 -4.124
-8.520 -2.204 0.456
Cu Dy Cd Au
2 4 1 1
direct
0.258 0.258 0.227
0.742 0.742 0.773
0.128 0.128 0.616
0.621 0.621 0.136
0.872 0.872 0.384
0.379 0.379 0.864
0.000 0.000 0.000
0.500 0.500 0.500

[20]
Dy4CdCuAu2, relaxed, DFT PBE; space-group type = No. 166; final energy = -4.308 eV/atom; ΔH_f (0 K) = -0.56 eV/atom
1.0
5.096 0.000 0.000
2.548 4.413 0.000
2.548 1.471 8.323
Dy Au Cd Cu
4 2 1 1
direct
0.381 0.381 0.856
0.619 0.619 0.144
0.870 0.870 0.391
0.130 0.130 0.609
0.256 0.256 0.233
0.744 0.744 0.767
0.000 0.000 0.000
0.500 0.500 0.500

[21]
CdCu2AuF, relaxed, DFT PBE; space-group type = No. 123; raw formation energy = 3.535 eV per formula unit; final energy = -2.144 eV/atom
1.0
-2.890 -1.759 3.540
0.976 -4.759 -1.567
3.841 -0.210 3.030
F Cu Cd Au
1 2 1 1
direct
0.500 0.500 0.500
0.500 0.000 0.000
0.000 0.000 0.500
0.000 0.000 0.000
0.000 0.500 0.000

[22]
Cd2GaCu2Au5, relaxed, DFT PBE; space-group type = No. 127; final energy = -3.028 eV/atom; ΔH_f (0 K) = -0.08 eV/atom
1.0
3.736 0.000 0.000
0.000 9.830 0.000
0.000 0.000 9.830
Cd Au Ga Cu
4 10 2 4
direct
0.000 0.661 0.161
0.000 0.161 0.339
0.000 0.839 0.661
0.000 0.339 0.839
0.500 0.680 0.395
0.500 0.000 0.500
0.500 0.500 0.000
0.500 0.605 0.680
0.500 0.820 0.895
0.500 0.395 0.320
0.500 0.180 0.105
0.500 0.320 0.605
0.500 0.895 0.180
0.500 0.105 0.820
0.000 0.000 0.000
0.000 0.500 0.500
0.000 0.630 0.870
0.000 0.870 0.370
0.000 0.370 0.130
0.000 0.130 0.630

[23]
Cd2Ga2Cu5Au3, relaxed, DFT PBE; space-group type = No. 139; final energy = -3.195 eV/atom; ΔH_f (0 K) = -0.01 eV/atom
1.0
3.863 0.000 0.000
0.000 3.863 0.000
-1.931 -1.931 13.182
Ga Cu Cd Au
2 5 2 3
direct
0.631 0.631 0.263
0.369 0.369 0.737
0.070 0.570 0.141
0.430 0.930 0.859
0.930 0.430 0.859
0.570 0.070 0.141
0.500 0.500 0.000
0.268 0.268 0.537
0.732 0.732 0.463
0.000 0.000 0.000
0.155 0.155 0.310
0.845 0.845 0.690